Crystalline CaCdMo2O8 at its relaxed geometry. Source: Alexandria via LeMat-Bulk, functional PBE with a Hubbard U. Values from VASP.

Fermi-level density of states: 0.00 states/eV/atom
VASP energy: -6.559 eV/atom

Geometry as Quantum ESPRESSO input:
```
&SYSTEM
  ibrav = 0, nat = 12, ntyp = 4
/
ATOMIC_SPECIES
Cd 112.41 Cd.upf
O 16.00 O.upf
Mo 95.94 Mo.upf
Ca 40.08 Ca.upf
ATOMIC_POSITIONS angstrom
Cd 0.000 0.000 0.000
O -0.224 4.403 0.620
Mo -3.196 -0.912 -0.606
O -3.669 3.043 -0.817
Mo -2.232 2.812 -1.876
O -4.470 0.062 -1.411
O -2.890 1.984 -3.332
Ca -2.609 0.918 2.959
O -0.940 1.851 -1.071
O -2.559 -0.086 0.853
O -2.428 3.082 2.104
O -1.428 4.371 -2.283
CELL_PARAMETERS angstrom
-2.819 0.982 -5.441
-3.573 -2.806 4.229
1.551 5.553 2.296
```